[1]
First-principles (PBE-GGA) data for a relaxed Tm7Cd2Ru2 crystal, as listed in Alexandria.

Computed properties:
DOS at the Fermi energy, states/eV per cell: 13.14
Offset from the most stable computed form, meV per atom: 0
Calculated formation energy, kJ/mol of formula units: -320
Crystal system: orthorhombic
Final energy, Ry per atom: -0.3675

abc: 9.637 9.637 9.637
angles: 157.87 62.87 121.99
Sites, in units of the cell vectors:
Tm  0.000  0.000  0.000
Tm  0.055  0.372  0.683
Tm  0.082  0.733  0.348
Tm  0.385  0.733  0.652
Tm  0.430  0.566  0.864
Tm  0.688  0.372  0.317
Tm  0.701  0.566  0.136
Cd  0.332  0.332  0.000
Cd  0.727  0.227  0.500
Ru  0.318  0.075  0.243
Ru  0.832  0.075  0.757


[2]
First-principles (PBE-GGA) data for a relaxed Tm4CdRu crystal, as listed in Alexandria.

Computed properties:
DOS at the Fermi energy, states/eV per cell: 24.31
Offset from the most stable computed form, meV per atom: 0
Calculated formation energy, kJ/mol of formula units: -208
Crystal system: cubic
Final energy, Ry per atom: -0.3703

abc: 9.489 9.489 9.489
angles: 60.00 60.00 60.00
Sites, in units of the cell vectors:
Tm  0.061  0.061  0.439
Tm  0.061  0.439  0.061
Tm  0.061  0.439  0.439
Tm  0.189  0.189  0.811
Tm  0.189  0.811  0.189
Tm  0.189  0.811  0.811
Tm  0.210  0.597  0.597
Tm  0.439  0.061  0.061
Tm  0.439  0.061  0.439
Tm  0.439  0.439  0.061
Tm  0.597  0.210  0.597
Tm  0.597  0.597  0.210
Tm  0.597  0.597  0.597
Tm  0.811  0.189  0.189
Tm  0.811  0.189  0.811
Tm  0.811  0.811  0.189
Cd  0.508  0.831  0.831
Cd  0.831  0.508  0.831
Cd  0.831  0.831  0.508
Cd  0.831  0.831  0.831
Ru  0.390  0.390  0.390
Ru  0.390  0.390  0.831
Ru  0.390  0.831  0.390
Ru  0.831  0.390  0.390


[3]
First-principles (PBE-GGA) data for a relaxed Tm3CdRu crystal, as listed in Alexandria.

Computed properties:
DOS at the Fermi energy, states/eV per cell: 6.73
Offset from the most stable computed form, meV per atom: 0
Calculated formation energy, kJ/mol of formula units: -184
Crystal system: orthorhombic
Final energy, Ry per atom: -0.3751

abc: 9.320 8.613 5.768
angles: 78.05 64.69 37.26
Sites, in units of the cell vectors:
Tm  0.200  0.200  0.800
Tm  0.200  0.575  0.425
Tm  0.425  0.800  0.200
Tm  0.575  0.200  0.800
Tm  0.800  0.425  0.575
Tm  0.800  0.800  0.200
Cd  0.211  0.789  0.789
Cd  0.789  0.211  0.211
Ru  0.250  0.250  0.250
Ru  0.750  0.750  0.750


Q: The lowest final energy belongs to which entry?
A: Tm3CdRu


Q: final energy of number 2 (Tm4CdRu)?
A: -0.3703 Ry per atom


What did the third record say?
First-principles (PBE-GGA) data for a relaxed Tm3CdRu crystal, as listed in Alexandria.

Computed properties:
DOS at the Fermi energy, states/eV per cell: 6.73
Offset from the most stable computed form, meV per atom: 0
Calculated formation energy, kJ/mol of formula units: -184
Crystal system: orthorhombic
Final energy, Ry per atom: -0.3751

abc: 9.320 8.613 5.768
angles: 78.05 64.69 37.26
Sites, in units of the cell vectors:
Tm  0.200  0.200  0.800
Tm  0.200  0.575  0.425
Tm  0.425  0.800  0.200
Tm  0.575  0.200  0.800
Tm  0.800  0.425  0.575
Tm  0.800  0.800  0.200
Cd  0.211  0.789  0.789
Cd  0.789  0.211  0.211
Ru  0.250  0.250  0.250
Ru  0.750  0.750  0.750